Below is an optimized crystal structure of SrHgTeO, with properties calculated at the PBE level.

Calculated total energy in eV/atom: -3.72
ΔE to the lowest computed polymorph in eV/f.u.: 0.36

Cell: 6.9058 7.7066 8.3506 Å, 90.00 90.00 90.00°
Last column: nearest neighbours and their distance in Å.
Space group P2_12_12_1 (No. 19)
Inequivalent atoms, fractional coordinates:
Sr: 0.2167 0.0958 0.4752 [4 per cell]  2 O 2.38-2.43
Hg: 0.1880 0.5313 0.3610 [4 per cell]  1 O 2.09
Te: 0.0148 0.2534 0.8395 [4 per cell]  1 Hg 2.65
O: 0.0013 0.8213 0.1193 [4 per cell]  1 Hg 2.09